## Ac2NiRuO6 (GGA+U)

Data for Ac2NiRuO6 after structural relaxation.

Output
Symmetry: No. 14
D(E_F) in states/eV/f.u.: 4.91
E in Ha/atom: -0.265

Unit cell a=5.725 b=5.705 c=8.068 alpha=90.00 beta=90.03 gamma=90.00
Each line ends with the local moment (μB).
Element x y z (fractional)
O  0.933  0.507  0.247  0.10
Ac  0.995  0.032  0.750  0.01
Ru  0.000  0.500  0.000  1.44
Ac  0.505  0.532  0.750  0.01
O  0.215  0.222  0.037  0.10
O  0.778  0.785  0.535  0.10
Ni  0.000  0.500  0.500  1.76
Ru  0.500  0.000  0.500  1.44
Ac  0.005  0.968  0.250  0.01
O  0.067  0.493  0.753  0.10
O  0.722  0.285  0.965  0.10
O  0.433  0.993  0.747  0.10
O  0.222  0.215  0.465  0.10
Ni  0.500  0.000  0.000  1.76
O  0.285  0.722  0.463  0.10
O  0.785  0.778  0.963  0.10
O  0.715  0.278  0.537  0.10
O  0.567  0.007  0.253  0.10
O  0.278  0.715  0.035  0.10
Ac  0.495  0.468  0.250  0.01